First-principles (PBE-GGA) data for crystalline La2Nd7ErTl2 at its relaxed geometry, as listed in Alexandria via LeMat-Bulk.

ΔE_f in eV/atom: -0.0443

```
La2Nd7ErTl2
1.0
6.022 1.062 0.889
1.069 6.021 0.889
5.665 5.658 13.079
La Nd Er Tl
2 7 1 2
Cartesian
9.716 9.704 9.967
3.040 3.036 4.891
3.546 3.541 0.889
5.102 5.095 7.104
7.655 7.645 7.753
6.324 3.840 3.190
3.848 6.319 3.190
8.909 6.422 11.667
6.433 8.901 11.667
0.000 0.000 0.000
6.711 6.703 4.823
6.046 6.038 10.034
```